NdHo2Ir | GGA-PBE | optimized geometry

Properties
Calculated formation energy: -0.379 eV/atom
Distance to the lowest polymorph of the same formula: 0.674 eV per formula unit
VASP energy: -6.08 eV per atom

Lattice parameters (Å, degrees): 9.068 9.068 9.068 25.58 25.58 25.58
Fractional positions:
1 Nd 0.000 0.000 0.000
2 Ho 0.553 0.553 0.553
3 Ho 0.775 0.775 0.775
4 Ir 0.164 0.164 0.164

Nd3Ho4Ir4 | GGA-PBE | optimized geometry

Properties
Calculated formation energy: -0.636 eV/atom
VASP energy: -6.82 eV per atom

Lattice parameters (Å, degrees): 9.274 9.274 9.274 155.21 124.45 61.73
Fractional positions:
1 Nd 0.000 0.000 0.000
2 Nd 0.398 0.898 0.500
3 Nd 0.602 0.102 0.500
4 Ho 0.023 0.331 0.692
5 Ho 0.360 0.669 0.692
6 Ho 0.640 0.331 0.308
7 Ho 0.977 0.669 0.308
8 Ir 0.242 0.242 0.000
9 Ir 0.283 0.500 0.783
10 Ir 0.717 0.500 0.217
11 Ir 0.758 0.758 0.000